# 1
Material: RbNaGe2Rh
Method: DFT, GGA-PBE
State: relaxed

The structure in POSCAR format:
```
RbNaGe2Rh
1.0
-3.880 -1.482 -2.477
0.886 -5.751 2.053
-2.802 0.935 3.829
Na Ge Rh Rb
1 2 1 1
Direct
0.500 0.500 0.500
0.000 0.000 0.500
0.500 0.000 0.000
0.000 0.000 0.000
0.000 0.500 0.000
```

Summary:
The value obtained for the energy of formation from the pure elements is 0.6 eV/f.u. For the total moment, the calculation gives 0.000 μB per formula unit. Its density of states at the Fermi level is 0.90 states/eV per atom. The calculation puts the total energy at -18.30 eV for the cell shown.

***

# 2
Material: RbNaGeS3
Method: DFT, GGA-PBE
State: relaxed

The structure in POSCAR format:
```
RbNaGeS3
1.0
6.152 -1.750 -0.758
1.337 6.255 -0.758
0.401 0.241 9.465
Rb Na Ge S
2 2 2 6
Direct
0.797 0.797 0.876
0.203 0.203 0.124
0.282 0.718 0.500
0.718 0.282 0.500
0.165 0.165 0.699
0.835 0.835 0.301
0.263 0.263 0.503
0.295 0.906 0.793
0.906 0.295 0.793
0.094 0.705 0.207
0.705 0.094 0.207
0.737 0.737 0.497
```

Summary:
For the total moment, the calculation gives 0.000 μB per formula unit. Its density of states at the Fermi level is 0.00 states/eV per atom. As for the energy relative to the elements, uncorrected: -808 meV/atom. The calculation puts the total energy at -48.27 eV for the cell shown.

***

# 3
Material: RbNa2GeS4
Method: DFT, GGA-PBE
State: relaxed

The structure in POSCAR format:
```
RbNa2GeS4
1.0
7.221 0.000 0.000
3.611 5.584 -0.828
3.611 -0.204 5.641
Rb Na Ge S
1 2 1 4
Direct
0.000 0.000 0.000
0.500 0.750 0.250
0.500 0.250 0.750
0.000 0.500 0.500
0.640 0.536 0.825
0.360 0.175 0.464
0.000 0.464 0.175
0.000 0.825 0.536
```

Summary:
For the total moment, the calculation gives 1.076 μB per formula unit. Its density of states at the Fermi level is 1.09 states/eV per atom. As for the energy relative to the elements, uncorrected: -773 meV/atom. The calculation puts the total energy at -30.92 eV for the cell shown.

***

# 4
Material: RbNaGe2S
Method: DFT, GGA-PBE
State: relaxed

The structure in POSCAR format:
```
RbNaGe2S
1.0
-1.394 0.856 -4.908
-3.622 -4.642 0.220
-3.835 3.069 1.625
Na Ge S Rb
1 2 1 1
Direct
0.000 0.000 0.000
0.000 0.000 0.500
0.500 0.000 0.000
0.500 0.500 0.500
0.000 0.500 0.000
```

Summary:
For the total moment, the calculation gives 0.000 μB per formula unit. Its density of states at the Fermi level is 0.43 states/eV per atom. As for the energy relative to the elements, uncorrected: 710 meV/atom. The calculation puts the total energy at -12.10 eV for the cell shown.

***

# 5
Material: Rb2NaGeSb2
Method: DFT, GGA-PBE
State: relaxed

The structure in POSCAR format:
```
Rb2NaGeSb2
1.0
7.376 0.000 0.000
0.000 7.229 0.000
-3.688 -3.614 8.245
Rb Na Ge Sb
4 2 2 4
Direct
0.409 0.170 0.339
0.591 0.830 0.661
0.069 0.330 0.661
0.931 0.670 0.339
0.000 0.750 0.000
0.000 0.250 0.000
0.500 0.750 0.000
0.500 0.250 0.000
0.807 0.095 0.190
0.383 0.595 0.190
0.617 0.405 0.810
0.193 0.905 0.810
```

Summary:
For the total moment, the calculation gives 0.000 μB per formula unit. Its density of states at the Fermi level is 0.40 states/eV per atom. As for the energy relative to the elements, uncorrected: -344 meV/atom. The calculation puts the total energy at -36.36 eV for the cell shown.

***

# 6
Material: RbNaSc2Ge
Method: DFT, GGA-PBE
State: relaxed

The structure in POSCAR format:
```
RbNaSc2Ge
1.0
-4.703 -2.356 0.810
2.759 -5.458 0.147
0.666 0.479 5.258
Sc Na Ge Rb
2 1 1 1
Direct
0.000 0.000 0.500
0.500 0.000 0.000
0.000 0.500 0.000
0.000 0.000 0.000
0.500 0.500 0.500
```

Summary:
The value obtained for the energy of formation from the pure elements is 0.9 eV/f.u. For the total moment, the calculation gives 0.980 μB per formula unit. Its density of states at the Fermi level is 1.40 states/eV per atom. The calculation puts the total energy at -18.68 eV for the cell shown.

***

# 7
Material: RbNa2SiGe
Method: DFT, GGA-PBE
State: relaxed

The structure in POSCAR format:
```
RbNa2SiGe
1.0
-5.284 2.183 0.162
-1.864 -4.590 1.060
0.603 1.046 5.590
Na Ge Si Rb
2 1 1 1
Direct
0.000 0.000 0.500
0.500 0.000 0.000
0.000 0.000 0.000
0.000 0.500 0.000
0.500 0.500 0.500
```

Summary:
For the total moment, the calculation gives 0.000 μB per formula unit. Its density of states at the Fermi level is 0.56 states/eV per atom. As for the energy relative to the elements, uncorrected: 185 meV/atom. The calculation puts the total energy at -12.72 eV for the cell shown.

***

# 8
Material: RbNa2SnGe
Method: DFT, GGA-PBE
State: relaxed

The structure in POSCAR format:
```
RbNa2SnGe
1.0
-0.572 3.896 -4.282
-5.599 -1.466 -0.587
-1.365 3.766 3.609
Na Ge Sn Rb
2 1 1 1
Direct
0.000 0.500 0.000
0.500 0.000 0.000
0.000 0.000 0.000
0.000 0.000 0.500
0.500 0.500 0.500
```

Summary:
The value obtained for the energy of formation from the pure elements is 0.1 eV/f.u. For the total moment, the calculation gives 0.001 μB per formula unit. Its density of states at the Fermi level is 0.44 states/eV per atom. The calculation puts the total energy at -12.16 eV for the cell shown.

***

# 9
Material: RbNa2TcGe
Method: DFT, GGA-PBE
State: relaxed

The structure in POSCAR format:
```
RbNa2TcGe
1.0
-1.359 -2.820 -4.832
2.086 -4.018 1.758
-5.018 -1.584 2.336
Na Ge Tc Rb
2 1 1 1
Direct
0.000 0.000 0.500
0.500 0.000 0.000
0.000 0.000 0.000
0.000 0.500 0.000
0.500 0.500 0.500
```

Summary:
The value obtained for the energy of formation from the pure elements is 2.7 eV/f.u. For the total moment, the calculation gives 2.316 μB per formula unit. Its density of states at the Fermi level is 0.64 states/eV per atom. The calculation puts the total energy at -15.91 eV for the cell shown.

***

# 10
Material: Rb2NaGeTe4
Method: DFT, GGA-PBE
State: relaxed

The structure in POSCAR format:
```
Rb2NaGeTe4
1.0
-4.593 -3.594 3.391
1.733 -8.499 0.051
4.403 -0.367 12.285
Rb Na Ge Te
4 2 2 8
Direct
0.185 0.000 0.630
0.815 0.000 0.370
0.565 0.500 0.870
0.935 0.500 0.130
0.750 0.500 0.500
0.000 0.000 0.000
0.250 0.500 0.500
0.500 0.000 0.000
0.340 0.796 0.128
0.264 0.204 0.872
0.864 0.796 0.872
0.532 0.204 0.128
0.410 0.704 0.372
0.486 0.296 0.628
0.886 0.704 0.628
0.218 0.296 0.372
```

Summary:
For the total moment, the calculation gives 0.000 μB per formula unit. Its density of states at the Fermi level is 0.53 states/eV per atom. As for the energy relative to the elements, uncorrected: -556 meV/atom. The calculation puts the total energy at -49.76 eV for the cell shown.

***

# 11
Material: RbNaTl2Ge
Method: DFT, GGA-PBE
State: relaxed

The structure in POSCAR format:
```
RbNaTl2Ge
1.0
-3.903 4.047 1.045
-3.810 -4.033 1.387
1.711 0.249 5.425
Na Tl Ge Rb
1 2 1 1
Direct
0.000 0.000 0.500
0.000 0.500 0.000
0.500 0.000 0.000
0.000 0.000 0.000
0.500 0.500 0.500
```

Summary:
The value obtained for the energy of formation from the pure elements is 0.2 eV/f.u. For the total moment, the calculation gives 0.000 μB per formula unit. Its density of states at the Fermi level is 0.43 states/eV per atom. The calculation puts the total energy at -11.39 eV for the cell shown.

***

# 12
Material: RbNa2ZnGe
Method: DFT, GGA-PBE
State: relaxed

The structure in POSCAR format:
```
RbNa2ZnGe
1.0
5.784 0.000 0.000
0.000 5.784 0.000
0.000 0.000 4.852
Na Ge Zn Rb
2 1 1 1
Direct
0.000 0.500 0.000
0.500 0.000 0.000
0.000 0.000 0.500
0.000 0.000 0.000
0.500 0.500 0.500
```

Summary:
The value obtained for the energy of formation from the pure elements is 0.4 eV/f.u. For the total moment, the calculation gives 0.000 μB per formula unit. Its density of states at the Fermi level is 0.32 states/eV per atom. The value obtained for the polymorph energy (0 for the lowest one) is 0.055 eV/atom. The calculation puts the total energy at -9.09 eV for the cell shown.

***

# 13
Material: RbNa2ZnGe
Method: DFT, GGA-PBE
State: relaxed

The structure in POSCAR format:
```
RbNa2ZnGe
1.0
-4.774 3.356 0.164
-3.336 -4.768 0.468
0.343 0.246 4.940
Na Ge Zn Rb
2 1 1 1
Direct
0.000 0.500 0.000
0.500 0.000 0.000
0.000 0.000 0.000
0.000 0.000 0.500
0.500 0.500 0.500
```

Summary:
The value obtained for the energy of formation from the pure elements is 0.1 eV/f.u. For the total moment, the calculation gives 0.000 μB per formula unit. Its density of states at the Fermi level is 0.36 states/eV per atom. The value obtained for the polymorph energy (0 for the lowest one) is 0.000 eV/atom. The calculation puts the total energy at -9.36 eV for the cell shown.

***

# 14
Material: RbNa2Zn2Ge2
Method: DFT, GGA-PBE
State: relaxed

The structure in POSCAR format:
```
RbNa2Zn2Ge2
1.0
-3.917 -0.971 1.750
-2.781 -2.636 -2.160
2.248 -10.103 4.955
Rb Na Zn Ge
1 2 2 2
Direct
0.000 0.000 0.000
0.134 0.134 0.597
0.866 0.866 0.403
0.751 0.751 0.748
0.249 0.249 0.252
0.583 0.583 0.252
0.417 0.417 0.748
```

Summary:
The value obtained for the energy of formation from the pure elements is -0.5 eV/f.u. For the total moment, the calculation gives 0.000 μB per formula unit. Its density of states at the Fermi level is 0.67 states/eV per atom. The calculation puts the total energy at -15.94 eV for the cell shown.

***

# 15
Material: Rb2Na4ZnGe2
Method: DFT, GGA-PBE
State: relaxed

The structure in POSCAR format:
```
Rb2Na4ZnGe2
1.0
5.517 0.114 0.078
1.282 7.650 0.392
1.282 3.173 6.972
Rb Na Zn Ge
2 4 1 2
Direct
0.286 0.625 0.625
0.714 0.375 0.375
0.205 0.655 0.054
0.795 0.946 0.345
0.795 0.345 0.946
0.205 0.054 0.655
0.500 0.000 0.000
0.273 0.180 0.180
0.727 0.820 0.820
```

Summary:
The value obtained for the energy of formation from the pure elements is 0.0 eV/f.u. For the total moment, the calculation gives 0.000 μB per formula unit. Its density of states at the Fermi level is 0.18 states/eV per atom. The calculation puts the total energy at -17.71 eV for the cell shown.

***

# 16
Material: RbNaZnGe
Method: DFT, GGA-PBE
State: relaxed

The structure in POSCAR format:
```
RbNaZnGe
1.0
-4.428 -0.294 0.078
-1.979 -2.999 2.605
-0.238 5.564 6.187
Rb Na Zn Ge
1 1 1 1
Direct
0.359 0.359 0.193
0.357 0.357 0.684
0.024 0.024 0.884
0.691 0.691 0.888
```

Summary:
The value obtained for the energy of formation from the pure elements is -0.3 eV/f.u. For the total moment, the calculation gives 0.000 μB per formula unit. Its density of states at the Fermi level is 0.25 states/eV per atom. The calculation puts the total energy at -8.44 eV for the cell shown.

***

# 17
Material: NaReGe2
Method: DFT, GGA-PBE
State: relaxed

The structure in POSCAR format:
```
NaReGe2
1.0
0.000 3.190 3.190
3.190 0.000 3.190
3.190 3.190 0.000
Re Ge Na
1 2 1
Direct
0.500 0.500 0.500
0.250 0.250 0.250
0.750 0.750 0.750
0.000 0.000 0.000
```

Summary:
The value obtained for the energy of formation from the pure elements is 1.7 eV/f.u. For the total moment, the calculation gives 0.000 μB per formula unit. Its density of states at the Fermi level is 0.62 states/eV per atom. The value obtained for the polymorph energy (0 for the lowest one) is 0.359 eV/atom. The calculation puts the total energy at -21.28 eV for the cell shown.

***

# 18
Material: NaReGe2
Method: DFT, GGA-PBE
State: relaxed

The structure in POSCAR format:
```
NaReGe2
1.0
-4.482 -0.307 3.586
0.228 -5.740 -0.207
2.536 -3.049 7.515
Re Ge Na
2 4 2
Direct
0.000 0.000 0.000
0.750 0.250 0.500
0.871 0.125 0.250
0.879 0.625 0.250
0.375 0.129 0.750
0.875 0.121 0.750
0.500 0.500 0.000
0.250 0.750 0.500
```

Summary:
The value obtained for the energy of formation from the pure elements is 1.8 eV/f.u. For the total moment, the calculation gives 0.000 μB per formula unit. Its density of states at the Fermi level is 0.12 states/eV per atom. The value obtained for the polymorph energy (0 for the lowest one) is 0.386 eV/atom. The calculation puts the total energy at -42.34 eV for the cell shown.

***

# 19
Material: NaRe2Ge2
Method: DFT, GGA-PBE
State: relaxed

The structure in POSCAR format:
```
NaRe2Ge2
1.0
7.560 0.000 0.000
0.000 7.560 0.000
0.000 0.000 2.860
Re Ge Na
4 4 2
Direct
0.139 0.639 0.500
0.639 0.861 0.500
0.861 0.361 0.500
0.361 0.139 0.500
0.348 0.848 0.000
0.848 0.652 0.000
0.652 0.152 0.000
0.152 0.348 0.000
0.000 0.000 0.000
0.500 0.500 0.000
```

Summary:
The value obtained for the energy of formation from the pure elements is 1.7 eV/f.u. For the total moment, the calculation gives 0.000 μB per formula unit. Its density of states at the Fermi level is 0.65 states/eV per atom. The calculation puts the total energy at -67.49 eV for the cell shown.

***

# 20
Material: NaReGe2
Method: DFT, GGA-PBE
State: relaxed

The structure in POSCAR format:
```
NaReGe2
1.0
3.085 0.000 0.000
1.542 2.671 0.000
1.542 0.890 9.553
Re Ge Na
1 2 1
Direct
0.500 0.500 0.500
0.100 0.100 0.699
0.900 0.900 0.301
0.000 0.000 0.000
```

Summary:
The value obtained for the energy of formation from the pure elements is 0.8 eV/f.u. For the total moment, the calculation gives 0.000 μB per formula unit. Its density of states at the Fermi level is 0.61 states/eV per atom. The value obtained for the polymorph energy (0 for the lowest one) is 0.131 eV/atom. The calculation puts the total energy at -22.19 eV for the cell shown.